# 1
# AlI2Cl, optimized geometry, DFT PBE
data_AlI2Cl
_chemical_formula_sum 'Al1 I2 Cl1'
_space_group_name_H-M_alt 'P 1'
_space_group_IT_number 1
_space_group_name_Hall 'P 1'
_cell_length_a 4.118
_cell_length_b 6.513
_cell_length_c 7.805
_cell_angle_alpha 66.67
_cell_angle_beta 75.10
_cell_angle_gamma 89.98
loop_
_atom_site_label
_atom_site_type_symbol
_atom_site_fract_x
_atom_site_fract_y
_atom_site_fract_z
Al1 Al 0.000 0.000 0.000
I1 I 0.503 0.735 0.995
I2 I 0.849 0.049 0.309
Cl1 Cl 0.129 0.288 0.735
# offset from the most stable computed form = 0.0 meV/atom

# 2
# Ce2PuTl2, optimized geometry, DFT PBE
data_Ce2PuTl2
_chemical_formula_sum 'Ce8 Pu4 Tl8'
_space_group_name_H-M_alt 'C 1 2/m 1'
_space_group_IT_number 12
_space_group_name_Hall '-C 2y'
_cell_length_a 12.794
_cell_length_b 3.453
_cell_length_c 13.056
_cell_angle_alpha 90.00
_cell_angle_beta 109.64
_cell_angle_gamma 90.00
loop_
_atom_site_label
_atom_site_type_symbol
_atom_site_fract_x
_atom_site_fract_y
_atom_site_fract_z
Ce1 Ce 0.118 0.000 0.458
Ce2 Ce 0.194 0.500 0.087
Pu1 Pu 0.171 0.500 0.306
Tl1 Tl 0.026 0.000 0.875
Tl2 Tl 0.109 0.500 0.693
# offset from the most stable computed form = 15.3 meV/atom
# formation enthalpy at 0 K = -59 meV/atom

# 3
# RbSr, optimized geometry, DFT PBE
data_RbSr
_chemical_formula_sum 'Rb16 Sr16'
_space_group_name_H-M_alt 'F d d d'
_space_group_IT_number 70
_cell_length_a 7.405
_cell_length_b 13.259
_cell_length_c 24.553
_cell_angle_alpha 90.00
_cell_angle_beta 90.00
_cell_angle_gamma 90.00
loop_
_space_group_symop_operation_xyz
'x,y,z'
'-x,-y,-z'
'-x+1/4,-y+1/4,z'
'x+1/4,y+1/4,-z'
'x,-y+1/4,-z+1/4'
'-x,y+1/4,z+1/4'
'-x+1/4,y,-z+1/4'
'x+1/4,-y,z+1/4'
'x,y+1/2,z+1/2'
'-x,-y+1/2,-z+1/2'
'-x+1/4,-y+3/4,z+1/2'
'x+1/4,y+3/4,-z+1/2'
'x,-y+3/4,-z+3/4'
'-x,y+3/4,z+3/4'
'-x+1/4,y+1/2,-z+3/4'
'x+1/4,-y+1/2,z+3/4'
'x+1/2,y,z+1/2'
'-x+1/2,-y,-z+1/2'
'-x+3/4,-y+1/4,z+1/2'
'x+3/4,y+1/4,-z+1/2'
'x+1/2,-y+1/4,-z+3/4'
'-x+1/2,y+1/4,z+3/4'
'-x+3/4,y,-z+3/4'
'x+3/4,-y,z+3/4'
'x+1/2,y+1/2,z'
'-x+1/2,-y+1/2,-z'
'-x+3/4,-y+3/4,z'
'x+3/4,y+3/4,-z'
'x+1/2,-y+3/4,-z+1/4'
'-x+1/2,y+3/4,z+1/4'
'-x+3/4,y+1/2,-z+1/4'
'x+3/4,-y+1/2,z+1/4'
loop_
_atom_site_label
_atom_site_type_symbol
_atom_site_fract_x
_atom_site_fract_y
_atom_site_fract_z
Rb1 Rb 0.125 0.290 0.125
Sr1 Sr 0.125 0.125 0.540
# formation enthalpy at 0 K = 244 meV/atom

# 4
# Mn2BiBr, optimized geometry, DFT PBE
data_Mn2BiBr
_chemical_formula_sum 'Mn8 Bi4 Br4'
_space_group_name_H-M_alt 'F m -3 m'
_space_group_IT_number 225
_space_group_name_Hall '-F 4 2 3'
_cell_length_a 7.217
_cell_length_b 7.217
_cell_length_c 7.217
_cell_angle_alpha 90.00
_cell_angle_beta 90.00
_cell_angle_gamma 90.00
loop_
_atom_site_label
_atom_site_type_symbol
_atom_site_fract_x
_atom_site_fract_y
_atom_site_fract_z
Mn1 Mn 0.250 0.250 0.250
Bi1 Bi 0.000 0.000 0.000
Br1 Br 0.000 0.000 0.500
# offset from the most stable computed form = 180.6 meV/atom

# 5
# TaV3H, optimized geometry, DFT PBE
data_TaV3H
_chemical_formula_sum 'Ta2 V6 H2'
_space_group_name_H-M_alt 'P 1 21 1'
_space_group_IT_number 4
_space_group_name_Hall 'P 2yb'
_cell_length_a 5.196
_cell_length_b 4.404
_cell_length_c 5.456
_cell_angle_alpha 90.00
_cell_angle_beta 100.91
_cell_angle_gamma 90.00
loop_
_atom_site_label
_atom_site_type_symbol
_atom_site_fract_x
_atom_site_fract_y
_atom_site_fract_z
Ta1 Ta 0.124 0.000 0.184
V1 V 0.118 0.997 0.684
V2 V 0.355 0.504 0.566
V3 V 0.385 0.499 0.056
H1 H 0.435 0.116 0.642
# offset from the most stable computed form = 0.0 meV/atom

# 6
# La12Tb6In, optimized geometry, DFT PBE
data_La12Tb6In
_chemical_formula_sum 'La36 Tb18 In3'
_space_group_name_H-M_alt 'R -3'
_space_group_IT_number 148
_space_group_name_Hall '-R 3'
_cell_length_a 15.8641
_cell_length_b 15.8641
_cell_length_c 8.9815
_cell_angle_alpha 90.00
_cell_angle_beta 90.00
_cell_angle_gamma 120.00
loop_
_atom_site_label
_atom_site_type_symbol
_atom_site_fract_x
_atom_site_fract_y
_atom_site_fract_z
La1 La 0.0362 0.7526 0.3402
La2 La 0.0730 0.5099 0.6656
Tb1 Tb 0.0181 0.8816 0.6661
In1 In 0.0000 0.0000 0.0000
# formation enthalpy at 0 K = -21 meV/atom

# 7
# MgCd6Rh2, optimized geometry, DFT PBE
data_MgCd6Rh2
_chemical_formula_sum 'Mg2 Cd12 Rh4'
_space_group_name_H-M_alt 'C 1 2/m 1'
_space_group_IT_number 12
_space_group_name_Hall '-C 2y'
_cell_length_a 15.251
_cell_length_b 3.155
_cell_length_c 7.271
_cell_angle_alpha 90.00
_cell_angle_beta 95.93
_cell_angle_gamma 90.00
loop_
_atom_site_label
_atom_site_type_symbol
_atom_site_fract_x
_atom_site_fract_y
_atom_site_fract_z
Mg1 Mg 0.000 0.000 0.000
Cd1 Cd 0.087 0.000 0.624
Cd2 Cd 0.162 0.500 0.974
Cd3 Cd 0.214 0.000 0.329
Rh1 Rh 0.059 0.500 0.290
# formation enthalpy at 0 K = -127 meV/atom

# 8
Compound: CsRb2H4Pd
Source: Alexandria via LeMat-Bulk
Functional: PBE
Structure: optimized geometry

The structure in CIF format:
```
data_CsRb2H4Pd
_chemical_formula_sum 'Cs4 Rb8 H16 Pd4'
_space_group_name_H-M_alt 'C m c m'
_space_group_IT_number 63
_space_group_name_Hall '-C 2c 2'
_cell_length_a 3.977
_cell_length_b 15.110
_cell_length_c 12.655
_cell_angle_alpha 90.00
_cell_angle_beta 90.00
_cell_angle_gamma 90.00
loop_
_atom_site_label
_atom_site_type_symbol
_atom_site_fract_x
_atom_site_fract_y
_atom_site_fract_z
Cs1 Cs 0.000 0.073 0.250
Rb1 Rb 0.000 0.365 0.057
H1 H 0.000 0.000 0.000
H2 H 0.000 0.255 0.617
H3 H 0.000 0.258 0.250
Pd1 Pd 0.000 0.250 0.750
```

# 9
# PmPr4Nd2Tm2, optimized geometry, DFT PBE
data_PmPr4Nd2Tm2
_chemical_formula_sum 'Pm2 Pr8 Nd4 Tm4'
_space_group_name_H-M_alt 'C 1 2/m 1'
_space_group_IT_number 12
_space_group_name_Hall '-C 2y'
_cell_length_a 15.520
_cell_length_b 5.173
_cell_length_c 8.136
_cell_angle_alpha 90.00
_cell_angle_beta 108.55
_cell_angle_gamma 90.00
loop_
_atom_site_label
_atom_site_type_symbol
_atom_site_fract_x
_atom_site_fract_y
_atom_site_fract_z
Pm1 Pm 0.000 0.000 0.000
Pr1 Pr 0.055 0.500 0.330
Pr2 Pr 0.222 0.000 0.329
Nd1 Nd 0.112 0.000 0.670
Tm1 Tm 0.168 0.500 0.999
# formation enthalpy at 0 K = 21 meV/atom

# 10
Compound: La3GeSb2Pd9
Source: Alexandria via LeMat-Bulk
Functional: PBE
Structure: optimized geometry

The structure in CIF format:
```
data_La3GeSb2Pd9
_chemical_formula_sum 'La3 Ge1 Sb2 Pd9'
_space_group_name_H-M_alt 'P -3 m 1'
_space_group_IT_number 164
_space_group_name_Hall '-P 3 2"'
_cell_length_a 6.9770
_cell_length_b 6.9770
_cell_length_c 8.4157
_cell_angle_alpha 90.00
_cell_angle_beta 90.00
_cell_angle_gamma 120.00
loop_
_atom_site_label
_atom_site_type_symbol
_atom_site_fract_x
_atom_site_fract_y
_atom_site_fract_z
La1 La 0.0000 0.0000 0.0000
La2 La 0.3333 0.6667 0.7129
Ge1 Ge 0.0000 0.0000 0.5000
Sb1 Sb 0.3333 0.6667 0.2082
Pd1 Pd 0.0000 0.5000 0.0000
Pd2 Pd 0.1336 0.2673 0.2850
```

# 11
# Tb2HoTh, optimized geometry, DFT PBE
data_Tb2HoTh
_chemical_formula_sum 'Tb2 Ho1 Th1'
_space_group_name_H-M_alt 'P -6 m 2'
_space_group_IT_number 187
_space_group_name_Hall 'P -6 2'
_cell_length_a 3.5835
_cell_length_b 3.5835
_cell_length_c 11.5308
_cell_angle_alpha 90.00
_cell_angle_beta 90.00
_cell_angle_gamma 120.00
loop_
_atom_site_label
_atom_site_type_symbol
_atom_site_fract_x
_atom_site_fract_y
_atom_site_fract_z
Tb1 Tb 0.0000 0.0000 0.2474
Ho1 Ho 0.3333 0.6667 0.0000
Th1 Th 0.3333 0.6667 0.5000
# offset from the most stable computed form = 31.6 meV/atom
# formation enthalpy at 0 K = 39 meV/atom

# 12
Compound: K2ScSb2
Source: Alexandria via LeMat-Bulk
Functional: PBE
Structure: optimized geometry

The structure in CIF format:
```
data_K2ScSb2
_chemical_formula_sum 'K4 Sc2 Sb4'
_space_group_name_H-M_alt 'P 4/m b m'
_space_group_IT_number 127
_space_group_name_Hall '-P 4 2ab'
_cell_length_a 7.670
_cell_length_b 7.670
_cell_length_c 5.829
_cell_angle_alpha 90.00
_cell_angle_beta 90.00
_cell_angle_gamma 90.00
loop_
_atom_site_label
_atom_site_type_symbol
_atom_site_fract_x
_atom_site_fract_y
_atom_site_fract_z
K1 K 0.167 0.333 0.000
Sc1 Sc 0.000 0.000 0.500
Sb1 Sb 0.137 0.637 0.500
```

# 13
# La3Ce2S8, optimized geometry, DFT PBE
data_La3Ce2S8
_chemical_formula_sum 'La6 Ce4 S16'
_space_group_name_H-M_alt 'C m m m'
_space_group_IT_number 65
_space_group_name_Hall '-C 2 2'
_cell_length_a 9.926
_cell_length_b 13.801
_cell_length_c 4.777
_cell_angle_alpha 90.00
_cell_angle_beta 90.00
_cell_angle_gamma 90.00
loop_
_atom_site_label
_atom_site_type_symbol
_atom_site_fract_x
_atom_site_fract_y
_atom_site_fract_z
La1 La 0.000 0.000 0.000
La2 La 0.217 0.500 0.500
Ce1 Ce 0.000 0.266 0.000
S1 S 0.000 0.122 0.500
S2 S 0.000 0.368 0.500
S3 S 0.244 0.127 0.000
# offset from the most stable computed form = 25.8 meV/atom

# 14
# CdAgTe2N, optimized geometry, DFT PBE
data_CdAgTe2N
_chemical_formula_sum 'Cd1 Ag1 Te2 N1'
_space_group_name_H-M_alt 'P 4/m m m'
_space_group_IT_number 123
_space_group_name_Hall '-P 4 2'
_cell_length_a 5.696
_cell_length_b 5.696
_cell_length_c 3.936
_cell_angle_alpha 90.00
_cell_angle_beta 90.00
_cell_angle_gamma 90.00
loop_
_atom_site_label
_atom_site_type_symbol
_atom_site_fract_x
_atom_site_fract_y
_atom_site_fract_z
Cd1 Cd 0.000 0.000 0.000
Ag1 Ag 0.500 0.500 0.500
Te1 Te 0.000 0.500 0.500
N1 N 0.500 0.500 0.000
# offset from the most stable computed form = 0.0 meV/atom

Number 1: DFT total energy -3.076 eV per atom, mass density 2.85 g/cm³, magnetic moment 0.00 μB/atom. Number 2: DFT total energy -6.245 eV per atom, mass density 11.41 g/cm³, magnetic moment 1.50 μB/atom. Number 3: DFT total energy -1.080 eV per atom, mass density 1.91 g/cm³, magnetic moment 0.00 μB/atom. Number 4: DFT total energy -5.463 eV per atom, mass density 7.05 g/cm³, magnetic moment 2.38 μB/atom. Number 5: DFT total energy -8.578 eV per atom, mass density 9.07 g/cm³, magnetic moment 0.00 μB/atom. Number 6: DFT total energy -4.740 eV per atom, mass density 6.96 g/cm³, magnetic moment 0.00 μB/atom. Number 7: DFT total energy -2.548 eV per atom, mass density 8.63 g/cm³, magnetic moment 0.00 μB/atom. Number 8: DFT total energy -2.832 eV per atom, mass density 3.62 g/cm³, magnetic moment 0.00 μB/atom. Number 9: DFT total energy -4.684 eV per atom, mass density 7.16 g/cm³, magnetic moment 0.00 μB/atom. Number 10: DFT total energy -5.526 eV per atom, mass density 7.91 g/cm³, magnetic moment 0.00 μB/atom. Number 11: DFT total energy -5.275 eV per atom, mass density 9.25 g/cm³, magnetic moment 0.00 μB/atom. Number 12: DFT total energy -3.766 eV per atom, mass density 3.55 g/cm³, magnetic moment 0.17 μB/atom. Number 13: DFT total energy -6.511 eV per atom, mass density 4.84 g/cm³, magnetic moment 0.08 μB/atom. Number 14: DFT total energy -2.731 eV per atom, mass density 6.36 g/cm³, magnetic moment 0.26 μB/atom.